Computed, not measured: a geometry-optimized Sc2TcIr structure at the GGA-PBEsol level of DFT.

Results
- Uncorrected energy: -8.814 eV per atom
- Fermi-level density of states: 0.9548 states/eV/atom

Cell lengths 6.3600, 6.3600, 6.3600 Å; angles 90.00, 90.00, 90.00 degrees
Space group F-43m (No. 216)
Unique sites:
Sc (0.0000, 0.0000, 0.0000) (multiplicity 4)
Sc (0.2500, 0.2500, 0.2500) (multiplicity 4)
Tc (0.2500, 0.2500, 0.7500) (multiplicity 4)
Ir (0.0000, 0.0000, 0.5000) (multiplicity 4)



Computed, not measured: a geometry-optimized Zr5Fe structure at the GGA-PBEsol level of DFT.

Results
- Uncorrected energy: -9.097 eV per atom
- Fermi-level density of states: 1.1773 states/eV/atom

Cell lengths 10.6667, 3.2492, 7.2907 Å; angles 90.00, 109.15, 90.00 degrees
Space group C2/m (No. 12)
Unique sites:
Zr (0.0000, 0.0000, 0.0000) (multiplicity 2)
Zr (0.1344, 0.5000, 0.3660) (multiplicity 4)
Zr (0.1745, 0.5000, 0.8120) (multiplicity 4)
Fe (0.0000, 0.0000, 0.5000) (multiplicity 2)



Computed, not measured: a geometry-optimized ZrFe2Tc structure at the GGA-PBEsol level of DFT.

Results
- Uncorrected energy: -9.529 eV per atom
- Polymorph energy (0 for the lowest one): 8 meV/atom
- Fermi-level density of states: 1.3774 states/eV/atom

Cell lengths 6.0443, 6.0443, 6.0443 Å; angles 90.00, 90.00, 90.00 degrees
Space group Fm-3m (No. 225)
Unique sites:
Zr (0.0000, 0.0000, 0.0000) (multiplicity 4)
Fe (0.2500, 0.2500, 0.2500) (multiplicity 8)
Tc (0.0000, 0.0000, 0.5000) (multiplicity 4)



> What is the formula in the third record?

ZrFe2Tc



> Among the records above, which one has the highest Fermi-level density of states?

ZrFe2Tc